VASP calculation (PBEsol) on a relaxed structure of Li3P.

Values from the calculation:
VASP energy, eV per cell: -28.50

```
data_Li3P
_chemical_formula_sum 'Li6 P2'
_symmetry_space_group_name_H-M 'P m -3 n'
_symmetry_Int_Tables_number 223
_symmetry_space_group_name_Hall '-P 4n 2 3'
_cell_length_a 4.7151
_cell_length_b 4.7151
_cell_length_c 4.7151
_cell_angle_alpha 90.00
_cell_angle_beta 90.00
_cell_angle_gamma 90.00
loop_
_atom_site_label
_atom_site_type_symbol
_atom_site_fract_x
_atom_site_fract_y
_atom_site_fract_z
Li1 Li 0.0000 0.2500 0.5000
P1 P 0.0000 0.0000 0.0000
```

VASP calculation (PBEsol) on a relaxed structure of YTaTe2I.

Values from the calculation:
Energy relative to the elements, uncorrected, eV per atom: 0.733

```
data_YTaTe2I
_chemical_formula_sum 'Y1 Ta1 Te2 I1'
_symmetry_space_group_name_H-M 'P 4/m m m'
_symmetry_Int_Tables_number 123
_symmetry_space_group_name_Hall '-P 4 2'
_cell_length_a 5.7415
_cell_length_b 5.7415
_cell_length_c 5.5892
_cell_angle_alpha 90.00
_cell_angle_beta 90.00
_cell_angle_gamma 90.00
loop_
_atom_site_label
_atom_site_type_symbol
_atom_site_fract_x
_atom_site_fract_y
_atom_site_fract_z
Y1 Y 0.0000 0.0000 0.0000
Ta1 Ta 0.5000 0.5000 0.5000
Te1 Te 0.0000 0.5000 0.0000
I1 I 0.0000 0.0000 0.5000
```

VASP calculation (PBEsol) on a relaxed structure of Nd12Co6Sn.

Values from the calculation:
VASP energy, eV per cell: -231.58

```
data_Nd12Co6Sn
_chemical_formula_sum 'Nd24 Co12 Sn2'
_symmetry_space_group_name_H-M 'I m -3'
_symmetry_Int_Tables_number 204
_symmetry_space_group_name_Hall '-I 2 2 3'
_cell_length_a 9.8228
_cell_length_b 9.8228
_cell_length_c 9.8228
_cell_angle_alpha 90.00
_cell_angle_beta 90.00
_cell_angle_gamma 90.00
loop_
_atom_site_label
_atom_site_type_symbol
_atom_site_fract_x
_atom_site_fract_y
_atom_site_fract_z
Nd1 Nd 0.0000 0.3051 0.1926
Co1 Co 0.0000 0.1116 0.5000
Sn1 Sn 0.0000 0.0000 0.0000
```

VASP calculation (PBEsol) on a relaxed structure of Na2BeGeO4.

Values from the calculation:
Energy relative to the elements, uncorrected, eV per atom: -2.044

```
data_Na2BeGeO4
_chemical_formula_sum 'Na8 Be4 Ge4 O16'
_symmetry_space_group_name_H-M 'P 1 21/c 1'
_symmetry_Int_Tables_number 14
_symmetry_space_group_name_Hall '-P 2ybc'
_cell_length_a 7.2392
_cell_length_b 5.0134
_cell_length_c 10.1192
_cell_angle_alpha 90.00
_cell_angle_beta 90.41
_cell_angle_gamma 90.00
loop_
_atom_site_label
_atom_site_type_symbol
_atom_site_fract_x
_atom_site_fract_y
_atom_site_fract_z
Na1 Na 0.0010 0.2082 0.3908
Na2 Na 0.2615 0.6826 0.3618
Be1 Be 0.4992 0.6569 0.0874
Ge1 Ge 0.2791 0.1554 0.1598
O1 O 0.0510 0.2371 0.1219
O2 O 0.3117 0.6886 0.6265
O3 O 0.3139 0.2185 0.3305
O4 O 0.4544 0.1701 0.5743
```

VASP calculation (PBEsol) on a relaxed structure of Ba9Fe4Se16.

Values from the calculation:
Energy relative to the elements, uncorrected, eV per atom: -1.301

```
data_Ba9Fe4Se16
_chemical_formula_sum 'Ba36 Fe16 Se64'
_symmetry_space_group_name_H-M 'C 1 2 1'
_symmetry_Int_Tables_number 5
_symmetry_space_group_name_Hall 'C 2y'
_cell_length_a 13.6957
_cell_length_b 35.2726
_cell_length_c 9.7371
_cell_angle_alpha 90.00
_cell_angle_beta 133.79
_cell_angle_gamma 90.00
loop_
_atom_site_label
_atom_site_type_symbol
_atom_site_fract_x
_atom_site_fract_y
_atom_site_fract_z
Ba1 Ba 0.0000 0.0000 0.0000
Ba2 Ba 0.0000 0.2513 0.5000
Ba3 Ba 0.0842 0.8895 0.3304
Ba4 Ba 0.1106 0.5357 0.3730
Ba5 Ba 0.1109 0.7137 0.8805
Ba6 Ba 0.1246 0.3579 0.8268
Ba7 Ba 0.2108 0.1065 0.0788
Ba8 Ba 0.2110 0.1439 0.5787
Ba9 Ba 0.2319 0.9656 0.8467
Ba10 Ba 0.2393 0.2864 0.3346
Fe1 Fe 0.0383 0.2077 0.9090
Fe2 Fe 0.0398 0.0434 0.4111
Fe3 Fe 0.1247 0.4570 0.6616
Fe4 Fe 0.1257 0.7936 0.1738
Se1 Se 0.0000 0.4973 0.0000
Se2 Se 0.0000 0.7459 0.5000
Se3 Se 0.0375 0.6167 0.9044
Se4 Se 0.0376 0.6337 0.4046
Se5 Se 0.0597 0.4409 0.3735
Se6 Se 0.0731 0.8076 0.8905
Se7 Se 0.0848 0.2709 0.8950
Se8 Se 0.0940 0.9805 0.4055
Se9 Se 0.0947 0.1724 0.7652
Se10 Se 0.0963 0.0787 0.2671
Se11 Se 0.1783 0.9223 0.1056
Se12 Se 0.1838 0.0601 0.7382
Se13 Se 0.1836 0.1913 0.2356
Se14 Se 0.1852 0.3305 0.5746
Se15 Se 0.1856 0.5198 0.7764
Se16 Se 0.1886 0.7309 0.2864
Se17 Se 0.2086 0.8753 0.7447
```

VASP calculation (PBEsol) on a relaxed structure of BiBSe2Br.

Values from the calculation:
Energy relative to the elements, uncorrected, eV per atom: 1.681

```
data_BiBSe2Br
_chemical_formula_sum 'Bi1 B1 Se2 Br1'
_symmetry_space_group_name_H-M 'P 4/m m m'
_symmetry_Int_Tables_number 123
_symmetry_space_group_name_Hall '-P 4 2'
_cell_length_a 5.0578
_cell_length_b 5.0578
_cell_length_c 5.6009
_cell_angle_alpha 90.00
_cell_angle_beta 90.00
_cell_angle_gamma 90.00
loop_
_atom_site_label
_atom_site_type_symbol
_atom_site_fract_x
_atom_site_fract_y
_atom_site_fract_z
Bi1 Bi 0.0000 0.0000 0.0000
B1 B 0.5000 0.5000 0.0000
Se1 Se 0.0000 0.5000 0.5000
Br1 Br 0.0000 0.0000 0.5000
```

VASP calculation (PBEsol) on a relaxed structure of KMgZn.

Values from the calculation:
VASP energy, eV per cell: -7.90

```
data_KMgZn
_chemical_formula_sum 'K2 Mg2 Zn2'
_symmetry_space_group_name_H-M 'I 4 m m'
_symmetry_Int_Tables_number 107
_symmetry_space_group_name_Hall 'I 4 -2'
_cell_length_a 3.7131
_cell_length_b 3.7131
_cell_length_c 12.6748
_cell_angle_alpha 90.00
_cell_angle_beta 90.00
_cell_angle_gamma 90.00
loop_
_atom_site_label
_atom_site_type_symbol
_atom_site_fract_x
_atom_site_fract_y
_atom_site_fract_z
K1 K 0.0000 0.0000 0.0000
Mg1 Mg 0.0000 0.0000 0.7250
Zn1 Zn 0.0000 0.0000 0.2990
```

VASP calculation (PBEsol) on a relaxed structure of Ba2UHgO6.

Values from the calculation:
Energy relative to the elements, uncorrected, eV per atom: -2.498

```
data_Ba2UHgO6
_chemical_formula_sum 'Ba8 U4 Hg4 O24'
_symmetry_space_group_name_H-M 'F m -3 m'
_symmetry_Int_Tables_number 225
_symmetry_space_group_name_Hall '-F 4 2 3'
_cell_length_a 8.7151
_cell_length_b 8.7151
_cell_length_c 8.7151
_cell_angle_alpha 90.00
_cell_angle_beta 90.00
_cell_angle_gamma 90.00
loop_
_atom_site_label
_atom_site_type_symbol
_atom_site_fract_x
_atom_site_fract_y
_atom_site_fract_z
Ba1 Ba 0.2500 0.2500 0.2500
U1 U 0.0000 0.0000 0.0000
Hg1 Hg 0.0000 0.0000 0.5000
O1 O 0.0000 0.0000 0.2363
```

- Which formula does entry 8 have?
  Ba2UHgO6